# PBE K8Hg3Sb2, relaxed
data_K8Hg3Sb2
_chemical_formula_sum 'K8 Hg3 Sb2'
_cell_length_a 11.494
_cell_length_b 11.494
_cell_length_c 5.704
_cell_angle_alpha 90.36
_cell_angle_beta 90.36
_cell_angle_gamma 50.10
_space_group_name_H-M_alt 'P 1'
_space_group_IT_number 1
loop_
_space_group_symop_operation_xyz
'x,y,z'
loop_
_atom_site_label
_atom_site_fract_x
_atom_site_fract_y
_atom_site_fract_z
K1 0.031 0.615 0.250
K2 0.065 0.065 0.251
K3 0.336 0.336 0.756
K4 0.385 0.969 0.750
K5 0.615 0.031 0.250
K6 0.664 0.664 0.244
K7 0.935 0.935 0.749
K8 0.969 0.385 0.750
Hg1 0.327 0.673 0.000
Hg2 0.500 0.500 0.500
Hg3 0.673 0.327 0.000
Sb1 0.225 0.225 0.252
Sb2 0.775 0.775 0.748
# * calculated density: 3.33 g/cm³
# * space-group type: C2/m, No. 12
# * ΔE_f (raw): -0.28 eV/atom